# Ac2NdRe | Alexandria | PBE | relaxed
# **D(E_F)**: 1.453 states/eV/atom
# **Total energy**: -5.26 eV per atom
data_Ac2NdRe
_space_group_name_H-M_alt 'R -3 m'
_space_group_IT_number 166
_space_group_name_Hall '-R 3 2"'
_cell_length_a 3.5816
_cell_length_b 3.5816
_cell_length_c 35.6450
_cell_angle_alpha 90.00
_cell_angle_beta 90.00
_cell_angle_gamma 120.00
loop_
_atom_site_label
_atom_site_fract_x
_atom_site_fract_y
_atom_site_fract_z
Ac1 0.0000 0.0000 0.0755
Nd1 0.0000 0.0000 0.5000
Re1 0.0000 0.0000 0.0000



# SnCl3O | Alexandria | PBE | relaxed
# **E above lowest polymorph**: 101 meV per atom
# **D(E_F)**: 0.277 states/eV/atom
# **Total energy**: -2.81 eV per atom
# **Energy relative to the elements, uncorrected**: 0.460 eV/f.u.
data_SnCl3O
_space_group_name_H-M_alt 'P m -3 m'
_space_group_IT_number 221
_space_group_name_Hall '-P 4 2 3'
_cell_length_a 4.636
_cell_length_b 4.636
_cell_length_c 4.636
_cell_angle_alpha 90.00
_cell_angle_beta 90.00
_cell_angle_gamma 90.00
loop_
_atom_site_label
_atom_site_fract_x
_atom_site_fract_y
_atom_site_fract_z
Sn1 0.000 0.000 0.000
Cl1 0.000 0.500 0.500
O1 0.500 0.500 0.500



# PmTlCdGa | Alexandria | PBE | relaxed
# **D(E_F)**: 0.564 states/eV/atom
# **Total energy**: -2.97 eV per atom
data_PmTlCdGa
_space_group_name_H-M_alt 'F -4 3 m'
_space_group_IT_number 216
_space_group_name_Hall 'F -4 2 3'
_cell_length_a 7.349
_cell_length_b 7.349
_cell_length_c 7.349
_cell_angle_alpha 90.00
_cell_angle_beta 90.00
_cell_angle_gamma 90.00
loop_
_atom_site_label
_atom_site_fract_x
_atom_site_fract_y
_atom_site_fract_z
Pm1 0.000 0.000 0.000
Tl1 0.250 0.250 0.250
Cd1 0.000 0.000 0.500
Ga1 0.250 0.250 0.750



# Ac4SN3 | Alexandria | PBE | relaxed
# **D(E_F)**: 0.292 states/eV/atom
# **Total energy**: -6.96 eV per atom
# **Energy relative to the elements, uncorrected**: -10.175 eV/f.u.
data_Ac4SN3
_space_group_name_H-M_alt 'C m m m'
_space_group_IT_number 65
_space_group_name_Hall '-C 2 2'
_cell_length_a 8.088
_cell_length_b 11.380
_cell_length_c 3.992
_cell_angle_alpha 90.00
_cell_angle_beta 90.00
_cell_angle_gamma 90.00
loop_
_atom_site_label
_atom_site_fract_x
_atom_site_fract_y
_atom_site_fract_z
Ac1 0.000 0.240 0.000
Ac2 0.228 0.000 0.500
S1 0.000 0.500 0.000
N1 0.000 0.000 0.000
N2 0.250 0.250 0.500



# Pm3NdOs | Alexandria | PBE | relaxed
# **E above lowest polymorph**: 189 meV per atom
# **D(E_F)**: 1.381 states/eV/atom
# **Total energy**: -5.95 eV per atom
data_Pm3NdOs
_space_group_name_H-M_alt 'P m -3 m'
_space_group_IT_number 221
_space_group_name_Hall '-P 4 2 3'
_cell_length_a 5.585
_cell_length_b 5.585
_cell_length_c 5.585
_cell_angle_alpha 90.00
_cell_angle_beta 90.00
_cell_angle_gamma 90.00
loop_
_atom_site_label
_atom_site_fract_x
_atom_site_fract_y
_atom_site_fract_z
Pm1 0.000 0.000 0.500
Nd1 0.500 0.500 0.500
Os1 0.000 0.000 0.000